Density functional theory data (GGA-PBE) for crystalline Na5USe6 at its relaxed geometry.

The value obtained for the magnetic moment is 1.8 μB per cell. As for the formation energy (no corrections): -1030 meV per atom. The value obtained for the density of states at the Fermi level is 11.94 states/eV/f.u. The uncorrected energy is -4.26 eV/atom.

The space group is C2/m (No. 12) and the conventional cell measures 7.3493, 12.7264 and 7.2437 Å, with angles of 90.00, 110.46 and 90.00 degrees. The distinct sites, in fractional coordinates, are Na at (0.0000, 0.0000, 0.0000), Na at (0.0000, 0.1673, 0.5000), Na at (0.0000, 0.3243, 0.0000), U at (0.0000, 0.5000, 0.5000), Se at (0.2222, 0.5000, 0.2725) and Se at (0.2287, 0.3486, 0.7332).

***

Density functional theory data (GGA-PBE) for crystalline Na3U2VSe6 at its relaxed geometry.

The value obtained for the magnetic moment is 16.0 μB per cell. As for the formation energy (no corrections): -1095 meV per atom. The value obtained for the density of states at the Fermi level is 9.07 states/eV/f.u. The uncorrected energy is -5.81 eV/atom.

The space group is C2/m (No. 12) and the conventional cell measures 6.9541, 12.0515 and 7.4553 Å, with angles of 90.00, 108.23 and 90.00 degrees. The distinct sites, in fractional coordinates, are Na at (0.0000, 0.0000, 0.0000), Na at (0.0000, 0.3304, 0.0000), U at (0.0000, 0.1664, 0.5000), V at (0.0000, 0.5000, 0.5000), Se at (0.2325, 0.3429, 0.7261) and Se at (0.2380, 0.5000, 0.2747).

***

Density functional theory data (GGA-PBE) for crystalline Na2UV2Se6 at its relaxed geometry.

The value obtained for the magnetic moment is 12.0 μB per cell. As for the formation energy (no corrections): -997 meV per atom. The value obtained for the density of states at the Fermi level is 5.97 states/eV/f.u. The uncorrected energy is -5.82 eV/atom.

The space group is C2/m (No. 12) and the conventional cell measures 6.5972, 11.3102 and 7.4502 Å, with angles of 90.00, 105.22 and 90.00 degrees. The distinct sites, in fractional coordinates, are Na at (0.0000, 0.1668, 0.0000), U at (0.0000, 0.0000, 0.5000), V at (0.0000, 0.3440, 0.5000), Se at (0.2124, 0.5000, 0.7217) and Se at (0.2380, 0.1791, 0.7061).

***

Density functional theory data (GGA-PBE) for crystalline Na2UVSe4 at its relaxed geometry.

The value obtained for the magnetic moment is 5.0 μB per cell. As for the formation energy (no corrections): -1055 meV per atom. The value obtained for the density of states at the Fermi level is 6.57 states/eV/f.u. The uncorrected energy is -5.68 eV/atom.

The space group is P2/m (No. 10) and the conventional cell measures 6.7114, 4.0397 and 7.4233 Å, with angles of 90.00, 108.29 and 90.00 degrees. The distinct sites, in fractional coordinates, are Na at (0.0000, 0.0000, 0.0000), Na at (0.5000, 0.5000, 0.0000), U at (0.0000, 0.5000, 0.5000), V at (0.5000, 0.0000, 0.5000), Se at (0.2597, 0.0000, 0.7281) and Se at (0.2792, 0.5000, 0.2869).

***

Density functional theory data (GGA-PBE) for crystalline Na2YUSe4 at its relaxed geometry.

The value obtained for the magnetic moment is 3.0 μB per cell. As for the formation energy (no corrections): -1429 meV per atom. The value obtained for the density of states at the Fermi level is 6.94 states/eV/f.u. The uncorrected energy is -5.72 eV/atom.

The space group is P2/m (No. 10) and the conventional cell measures 7.1916, 4.1493 and 7.4380 Å, with angles of 90.00, 108.81 and 90.00 degrees. The distinct sites, in fractional coordinates, are Na at (0.0000, 0.0000, 0.0000), Na at (0.5000, 0.5000, 0.0000), Y at (0.0000, 0.5000, 0.5000), U at (0.5000, 0.0000, 0.5000), Se at (0.2427, 0.0000, 0.7319) and Se at (0.2540, 0.5000, 0.2671).

***

Density functional theory data (GGA-PBE) for crystalline Na2Y2USe6 at its relaxed geometry.

The value obtained for the magnetic moment is 4.0 μB per cell. As for the formation energy (no corrections): -1540 meV per atom. The value obtained for the density of states at the Fermi level is 6.77 states/eV/f.u. The uncorrected energy is -5.88 eV/atom.

The space group is C2/m (No. 12) and the conventional cell measures 7.1938, 12.3967 and 7.4535 Å, with angles of 90.00, 108.82 and 90.00 degrees. The distinct sites, in fractional coordinates, are Na at (0.0000, 0.1686, 0.0000), Y at (0.0000, 0.3337, 0.5000), U at (0.0000, 0.0000, 0.5000), Se at (0.2396, 0.1655, 0.7257) and Se at (0.2481, 0.5000, 0.7247).

***

Density functional theory data (GGA-PBE) for crystalline Na4Y3USe8 at its relaxed geometry.

The value obtained for the magnetic moment is 9.0 μB per cell. As for the formation energy (no corrections): -1567 meV per atom. The value obtained for the density of states at the Fermi level is 8.90 states/eV/f.u. The uncorrected energy is -5.56 eV/atom.

The space group is R-3m (No. 166, hexagonal axes) and the conventional cell measures 8.3106, 8.3106 and 21.0531 Å, with angles of 90.00, 90.00 and 120.00 degrees. The distinct sites, in fractional coordinates, are Na at (0.0000, 0.0000, 0.0000), Na at (0.0000, 0.5000, 0.0000), Y at (0.0000, 0.5000, 0.5000), U at (0.0000, 0.0000, 0.5000), Se at (0.0000, 0.0000, 0.2434) and Se at (0.0017, 0.5009, 0.7562).

***

Density functional theory data (GGA-PBE) for crystalline Na2UZnSe4 at its relaxed geometry.

The value obtained for the magnetic moment is 4.0 μB per cell. As for the formation energy (no corrections): -908 meV per atom. The value obtained for the density of states at the Fermi level is 3.86 states/eV/f.u. The uncorrected energy is -4.55 eV/atom.

The space group is I-42m (No. 121) and the conventional cell measures 7.3674, 7.3674 and 6.8488 Å, with angles of 90.00, 90.00 and 90.00 degrees. The distinct sites, in fractional coordinates, are Na at (0.0000, 0.5000, 0.0000), U at (0.0000, 0.0000, 0.0000), Zn at (0.0000, 0.0000, 0.5000) and Se at (0.1932, 0.1932, 0.2820).

***

Density functional theory data (GGA-PBE) for crystalline Na4U3ZnSe8 at its relaxed geometry.

The value obtained for the magnetic moment is 23.7 μB per cell. As for the formation energy (no corrections): -1083 meV per atom. The value obtained for the density of states at the Fermi level is 15.28 states/eV/f.u. The uncorrected energy is -5.35 eV/atom.

The space group is R-3m (No. 166, hexagonal axes) and the conventional cell measures 8.2403, 8.2403 and 20.9812 Å, with angles of 90.00, 90.00 and 120.00 degrees. The distinct sites, in fractional coordinates, are Na at (0.0000, 0.0000, 0.0000), Na at (0.0000, 0.5000, 0.0000), U at (0.0000, 0.5000, 0.5000), Zn at (0.0000, 0.0000, 0.5000), Se at (0.0000, 0.0000, 0.2452) and Se at (0.0092, 0.5046, 0.2415).

***

Density functional theory data (GGA-PBE) for crystalline Na3ZrU2Se6 at its relaxed geometry.

The value obtained for the magnetic moment is 13.7 μB per cell. As for the formation energy (no corrections): -1219 meV per atom. The value obtained for the density of states at the Fermi level is 8.14 states/eV/f.u. The uncorrected energy is -5.89 eV/atom.

The space group is C2/m (No. 12) and the conventional cell measures 6.9797, 12.0922 and 7.5228 Å, with angles of 90.00, 108.03 and 90.00 degrees. The distinct sites, in fractional coordinates, are Na at (0.0000, 0.0000, 0.0000), Na at (0.0000, 0.3318, 0.0000), Zr at (0.0000, 0.5000, 0.5000), U at (0.0000, 0.1667, 0.5000), Se at (0.2385, 0.3390, 0.7327) and Se at (0.2444, 0.5000, 0.2679).

***

Density functional theory data (GGA-PBE) for crystalline Na2ZrU2Se6 at its relaxed geometry.

The value obtained for the magnetic moment is 12.0 μB per cell. As for the formation energy (no corrections): -1237 meV per atom. The value obtained for the density of states at the Fermi level is 9.47 states/eV/f.u. The uncorrected energy is -6.21 eV/atom.

The space group is C2/m (No. 12) and the conventional cell measures 6.9681, 11.9966 and 7.5547 Å, with angles of 90.00, 107.86 and 90.00 degrees. The distinct sites, in fractional coordinates, are Na at (0.0000, 0.1685, 0.0000), Zr at (0.0000, 0.0000, 0.5000), U at (0.0000, 0.3340, 0.5000), Se at (0.2375, 0.1607, 0.7270) and Se at (0.2448, 0.0000, 0.2724).

***

Density functional theory data (GGA-PBE) for crystalline Na2Zr2USe6 at its relaxed geometry.

The value obtained for the magnetic moment is 7.3 μB per cell. As for the formation energy (no corrections): -1286 meV per atom. The value obtained for the density of states at the Fermi level is 7.24 states/eV/f.u. The uncorrected energy is -6.01 eV/atom.

The space group is C2/m (No. 12) and the conventional cell measures 6.7681, 11.7788 and 7.5661 Å, with angles of 90.00, 107.24 and 90.00 degrees. The distinct sites, in fractional coordinates, are Na at (0.0000, 0.1638, 0.0000), Zr at (0.0000, 0.3332, 0.5000), U at (0.0000, 0.0000, 0.5000), Se at (0.2280, 0.5000, 0.7252) and Se at (0.2466, 0.1717, 0.7253).

***

> Which of these has the lowest magnetic moment?

Na5USe6